No. 1
Compound: Ac2Pm6Er
Source: the Alexandria database
Functional: PBE-GGA
Structure: optimized geometry

a b c (Å): 7.137 7.329 7.329
angles (deg): 60.01 90.00 90.00
Fractional positions:
1 Pm 0.682 0.641 0.178
2 Pm 0.317 0.822 0.822
3 Er 0.000 0.000 0.000
4 Pm 0.682 0.178 0.641
5 Pm 0.683 0.178 0.178
6 Pm 0.318 0.359 0.822
7 Ac 0.172 0.334 0.334
8 Ac 0.828 0.666 0.666
9 Pm 0.318 0.822 0.359

Values from the calculation:
The total energy comes out at -39.788 eV/cell. The crystal system is monoclinic. The formation energy comes out at 0.166 eV per atom. Its space-group type is C2/m (12).

No. 2
Compound: Li2CuBrCl2
Source: the Alexandria database
Functional: PBE-GGA
Structure: optimized geometry

a b c (Å): 6.505 6.873 6.824
angles (deg): 120.24 90.00 90.00
Site moments in Bohr magnetons follow the coordinates.
Fractional positions:
1 Cu 0.692 0.818 0.000  0.08
2 Li 0.176 0.834 0.348  0.00
3 Cl 0.307 0.169 0.667  0.00
4 Br 0.815 0.161 0.000  0.01
5 Br 0.315 0.839 0.000  0.01
6 Cu 0.192 0.182 0.000  0.08
7 Li 0.676 0.514 0.348  0.00
8 Li 0.676 0.166 0.652  0.00
9 Cl 0.307 0.502 0.333  0.00
10 Li 0.176 0.486 0.652  0.00
11 Cl 0.807 0.498 0.667  0.00
12 Cl 0.807 0.831 0.333  0.00

Values from the calculation:
The total energy comes out at -41.832 eV/cell. The crystal system is orthorhombic. The uncorrected formation energy comes out at -1.271 eV per atom. Its space-group type is Cmc2_1 (36).

One value per record, in order, for DOS at the Fermi energy: 17.1, 0.0 states/eV/cell.